[1]
! MgAlP2 PBE optimized geometry; values from VASP
&SYSTEM
  ibrav = 0, nat = 4, ntyp = 3
/
ATOMIC_SPECIES
Mg 24.30 Mg.upf
Al 26.98 Al.upf
P 30.97 P.upf
CELL_PARAMETERS angstrom
1.8504 -2.0968 0.0000
1.8504 2.0968 0.0000
0.0000 0.0000 9.1649
ATOMIC_POSITIONS crystal
Mg 0.0000 0.0000 0.0000
Al 0.5000 0.5000 0.2572
P 0.0000 0.0000 0.4551
P 0.5000 0.5000 0.7968
! formation energy from the elements: 0.227 eV per atom
! DFT total energy: -15.2 eV per cell
! total moment: 0.00 μB per cell
! energy above the most stable polymorph in this dataset: 54.52 kJ/mol of atoms


[2]
! Mg2Al2P PBE optimized geometry; values from VASP
&SYSTEM
  ibrav = 0, nat = 10, ntyp = 3
/
ATOMIC_SPECIES
Mg 24.30 Mg.upf
Al 26.98 Al.upf
P 30.97 P.upf
CELL_PARAMETERS angstrom
6.4823 0.0000 0.0000
0.0000 6.4823 0.0000
0.0000 0.0000 4.6595
ATOMIC_POSITIONS crystal
Mg 0.1637 0.3363 0.0000
Mg 0.3363 0.8363 0.0000
Mg 0.6637 0.1637 0.0000
Mg 0.8363 0.6637 0.0000
Al 0.1431 0.6431 0.5000
Al 0.3569 0.1431 0.5000
Al 0.6431 0.8569 0.5000
Al 0.8569 0.3569 0.5000
P 0.0000 0.0000 0.5000
P 0.5000 0.5000 0.5000
! formation energy from the elements: 0.023 eV per atom
! DFT total energy: -31.9 eV per cell
! total moment: 0.00 μB per cell
! energy above the most stable polymorph in this dataset: 7.56 kJ/mol of atoms


[3]
! MgAlP2 PBE optimized geometry; values from VASP
&SYSTEM
  ibrav = 0, nat = 8, ntyp = 3
/
ATOMIC_SPECIES
Mg 24.30 Mg.upf
Al 26.98 Al.upf
P 30.97 P.upf
CELL_PARAMETERS angstrom
-2.9445 2.9445 5.2657
2.9445 -2.9445 5.2657
2.9445 2.9445 -5.2657
ATOMIC_POSITIONS crystal
Mg 0.0000 0.0000 0.0000
Mg 0.7500 0.2500 0.5000
Al 0.2500 0.7500 0.5000
Al 0.5000 0.5000 0.0000
P 0.1511 0.6250 0.0261
P 0.3750 0.4011 0.5261
P 0.5989 0.1250 0.9739
P 0.8750 0.8489 0.4739
! formation energy from the elements: -0.297 eV per atom
! DFT total energy: -34.7 eV per cell
! total moment: 0.00 μB per cell
! energy above the most stable polymorph in this dataset: 4.00 kJ/mol of atoms


[4]
! Mg2AlP PBE optimized geometry; values from VASP
&SYSTEM
  ibrav = 0, nat = 8, ntyp = 3
/
ATOMIC_SPECIES
Mg 24.30 Mg.upf
Al 26.98 Al.upf
P 30.97 P.upf
CELL_PARAMETERS angstrom
7.0482 -2.1177 0.0000
7.0482 2.1177 0.0000
-2.7053 0.0000 5.8248
ATOMIC_POSITIONS crystal
Mg 0.0000 0.0000 0.0000
Mg 0.2567 0.2567 0.9078
Mg 0.5653 0.5653 0.6497
Mg 0.8844 0.8844 0.4412
Al 0.2229 0.2229 0.3683
Al 0.6870 0.6870 0.1067
P 0.0688 0.0688 0.4477
P 0.3908 0.3908 0.7213
! formation energy from the elements: -0.224 eV per atom
! DFT total energy: -26.5 eV per cell
! total moment: 0.00 μB per cell
! energy above the most stable polymorph in this dataset: 1.96 kJ/mol of atoms


[5]
! Mg2AlP PBE optimized geometry; values from VASP
&SYSTEM
  ibrav = 0, nat = 4, ntyp = 3
/
ATOMIC_SPECIES
Mg 24.30 Mg.upf
Al 26.98 Al.upf
P 30.97 P.upf
CELL_PARAMETERS angstrom
3.6040 0.0000 0.0000
0.0000 1.8764 5.8761
0.0000 -1.8764 5.8761
ATOMIC_POSITIONS crystal
Mg 0.0000 0.0000 0.0000
Mg 0.0000 0.2762 0.2762
Al 0.5000 0.6272 0.6272
P 0.5000 0.8315 0.8315
! formation energy from the elements: -0.214 eV per atom
! DFT total energy: -13.2 eV per cell
! total moment: 0.00 μB per cell
! energy above the most stable polymorph in this dataset: 2.92 kJ/mol of atoms


[6]
! MgAlP PBE optimized geometry; values from VASP
&SYSTEM
  ibrav = 0, nat = 3, ntyp = 3
/
ATOMIC_SPECIES
Mg 24.30 Mg.upf
Al 26.98 Al.upf
P 30.97 P.upf
CELL_PARAMETERS angstrom
4.5420 0.0000 0.0000
-2.2710 3.9335 0.0000
0.0000 0.0000 2.8504
ATOMIC_POSITIONS crystal
Mg 0.0000 0.0000 0.0000
Al 0.3333 0.6667 0.5000
P 0.6667 0.3333 0.5000
! formation energy from the elements: -0.007 eV per atom
! DFT total energy: -10.8 eV per cell
! total moment: 0.00 μB per cell


[7]
! MgAlP PBE optimized geometry; values from VASP
&SYSTEM
  ibrav = 0, nat = 3, ntyp = 3
/
ATOMIC_SPECIES
Mg 24.30 Mg.upf
Al 26.98 Al.upf
P 30.97 P.upf
CELL_PARAMETERS angstrom
0.0000 3.1209 3.1209
3.1209 0.0000 3.1209
3.1209 3.1209 0.0000
ATOMIC_POSITIONS crystal
Mg 0.0000 0.0000 0.0000
Al 0.5000 0.5000 0.5000
P 0.2500 0.2500 0.2500
! formation energy from the elements: 0.017 eV per atom
! DFT total energy: -10.7 eV per cell
! total moment: 0.00 μB per cell


[8]
! MgAlP2 PBE optimized geometry; values from VASP
&SYSTEM
  ibrav = 0, nat = 4, ntyp = 3
/
ATOMIC_SPECIES
Mg 24.30 Mg.upf
Al 26.98 Al.upf
P 30.97 P.upf
CELL_PARAMETERS angstrom
4.3741 0.0000 0.0000
0.0000 4.3741 0.0000
0.0000 0.0000 3.3995
ATOMIC_POSITIONS crystal
Mg 0.0000 0.0000 0.0000
Al 0.5000 0.5000 0.0000
P 0.0000 0.5000 0.5000
P 0.5000 0.0000 0.5000
! formation energy from the elements: 0.018 eV per atom
! DFT total energy: -16.1 eV per cell
! total moment: 0.00 μB per cell
! energy above the most stable polymorph in this dataset: 34.36 kJ/mol of atoms


> What is the DFT total energy in the fourth record?

-26.5 eV per cell


> Look up the DFT total energy of the first one.

-15.2 eV per cell


> What is the formation energy from the elements in the seventh record?

0.017 eV per atom